# PBE ScAsO3, relaxed
# - size of the total moment (μB/atom) = 0.00
# - Fermi-level density of states (states/eV/atom) = 0.107
# - formation energy without anion corrections (meV per atom) = -1329
# - calculated total energy (eV per cell) = -32.50
# - calculated density (kg/m³) = 4391
data_ScAsO3
_chemical_formula_sum 'Sc1 As1 O3'
_symmetry_space_group_name_H-M 'P m -3 m'
_symmetry_Int_Tables_number 221
_symmetry_space_group_name_Hall '-P 4 2 3'
_cell_length_a 3.989
_cell_length_b 3.989
_cell_length_c 3.989
_cell_angle_alpha 90.00
_cell_angle_beta 90.00
_cell_angle_gamma 90.00
loop_
_atom_site_label
_atom_site_type_symbol
_atom_site_fract_x
_atom_site_fract_y
_atom_site_fract_z
Sc1 Sc 0.000 0.000 0.000
As1 As 0.500 0.500 0.500
O1 O 0.000 0.000 0.500

---

# PBE Sc12As3O5, relaxed
# - size of the total moment (μB/atom) = 0.00
# - Fermi-level density of states (states/eV/atom) = 0.936
# - formation energy without anion corrections (meV per atom) = -1793
# - calculated total energy (eV per cell) = -1204.66
# - calculated density (kg/m³) = 3974
data_Sc12As3O5
_chemical_formula_sum 'Sc96 As24 O40'
_symmetry_space_group_name_H-M 'I a -3 d'
_symmetry_Int_Tables_number 230
_symmetry_space_group_name_Hall '-I 4bd 2c 3'
_cell_length_a 14.132
_cell_length_b 14.132
_cell_length_c 14.132
_cell_angle_alpha 90.00
_cell_angle_beta 90.00
_cell_angle_gamma 90.00
loop_
_atom_site_label
_atom_site_type_symbol
_atom_site_fract_x
_atom_site_fract_y
_atom_site_fract_z
Sc1 Sc 0.038 0.051 0.648
As1 As 0.000 0.250 0.125
O1 O 0.000 0.000 0.000
O2 O 0.000 0.250 0.375

---

# PBE Sc5As4O, relaxed
# - size of the total moment (μB/atom) = 0.00
# - Fermi-level density of states (states/eV/atom) = 0.259
# - formation energy without anion corrections (meV per atom) = -1591
# - calculated total energy (eV per cell) = -142.25
# - calculated density (kg/m³) = 4671
data_Sc5As4O
_chemical_formula_sum 'Sc10 As8 O2'
_symmetry_space_group_name_H-M 'I 4'
_symmetry_Int_Tables_number 79
_symmetry_space_group_name_Hall 'I 4'
_cell_length_a 8.385
_cell_length_b 8.385
_cell_length_c 5.466
_cell_angle_alpha 90.00
_cell_angle_beta 90.00
_cell_angle_gamma 90.00
loop_
_atom_site_label
_atom_site_type_symbol
_atom_site_fract_x
_atom_site_fract_y
_atom_site_fract_z
Sc1 Sc 0.000 0.000 0.000
Sc2 Sc 0.098 0.717 0.579
As1 As 0.093 0.699 0.079
O1 O 0.000 0.000 0.629